Compound: Y4HoEr
Source: Alexandria
Functional: PBE
Structure: relaxed

crystal system: monoclinic
ρ: 5.85 g/cm³
raw total energy: -5.68 eV/atom
magnetic moment: 0.000 μB per formula unit
Fermi-level density of states: 41.632 states/eV per cell
distance to the lowest polymorph of the same formula: 0.127 eV per atom
formation energy from the elements: 153 meV/atom

```
data_Y4HoEr
_chemical_formula_sum 'Y16 Ho4 Er4'
_cell_length_a 8.8652
_cell_length_b 14.7349
_cell_length_c 6.4336
_cell_angle_alpha 90.00
_cell_angle_beta 111.78
_cell_angle_gamma 90.00
_space_group_name_H-M_alt 'C 1 2/c 1'
_space_group_IT_number 15
loop_
_space_group_symop_operation_xyz
'x,y,z'
'-x,-y,-z'
'-x,y,-z+1/2'
'x,-y,z+1/2'
'x+1/2,y+1/2,z'
'-x+1/2,-y+1/2,-z'
'-x+1/2,y+1/2,-z+1/2'
'x+1/2,-y+1/2,z+1/2'
loop_
_atom_site_label
_atom_site_type_symbol
_atom_site_fract_x
_atom_site_fract_y
_atom_site_fract_z
_atom_site_occupancy
Y1 Y 0.0923 0.1971 0.0431 1
Y2 Y 0.2008 0.3801 0.3775 1
Ho1 Ho 0.0000 0.0035 0.7500 1
Er1 Er 0.0000 0.4108 0.7500 1
```



Compound: NiSb2Au
Source: Alexandria
Functional: PBE
Structure: relaxed

crystal system: monoclinic
ρ: 10.02 g/cm³
raw formation energy: 65.1 meV/atom
raw total energy: -4.26 eV/atom
magnetic moment: 0.000 μB per formula unit
Fermi-level density of states: 2.162 states/eV per cell

```
data_NiSb2Au
_chemical_formula_sum 'Ni1 Sb2 Au1'
_cell_length_a 3.0095
_cell_length_b 3.3740
_cell_length_c 8.1487
_cell_angle_alpha 90.00
_cell_angle_beta 90.61
_cell_angle_gamma 90.00
_space_group_name_H-M_alt 'P 1 2/m 1'
_space_group_IT_number 10
loop_
_space_group_symop_operation_xyz
'x,y,z'
'-x,-y,-z'
'-x,y,-z'
'x,-y,z'
loop_
_atom_site_label
_atom_site_type_symbol
_atom_site_fract_x
_atom_site_fract_y
_atom_site_fract_z
_atom_site_occupancy
Ni1 Ni 0.0000 0.0000 0.0000 1
Sb1 Sb 0.4891 0.5000 0.7950 1
Au1 Au 0.5000 0.0000 0.5000 1
```



Compound: K2AlHgF6
Source: Alexandria
Functional: PBE
Structure: relaxed

crystal system: cubic
ρ: 4.12 g/cm³
raw formation energy: -2705.6 meV/atom
raw total energy: -4.45 eV/atom
magnetic moment: 0.543 μB per formula unit
Fermi-level density of states: 12.576 states/eV per cell
distance to the lowest polymorph of the same formula: 0.005 eV per atom

```
data_K2AlHgF6
_chemical_formula_sum 'K8 Al4 Hg4 F24'
_cell_length_a 8.7785
_cell_length_b 8.7785
_cell_length_c 8.7785
_cell_angle_alpha 90.00
_cell_angle_beta 90.00
_cell_angle_gamma 90.00
_space_group_name_H-M_alt 'F m -3 m'
_space_group_IT_number 225
_space_group_name_Hall '-F 4 2 3'
loop_
_atom_site_label
_atom_site_type_symbol
_atom_site_fract_x
_atom_site_fract_y
_atom_site_fract_z
_atom_site_occupancy
K1 K 0.2500 0.2500 0.2500 1
Al1 Al 0.0000 0.0000 0.0000 1
Hg1 Hg 0.0000 0.0000 0.5000 1
F1 F 0.0000 0.0000 0.2091 1
```